VASP calculation (PBE) on crystalline Tl3Cd12Hg5 at its relaxed geometry.

Cell lengths 14.918, 14.918, 14.918 Å; angles 109.47, 109.47, 109.47 degrees
Element x y z (fractional)
1 Tl 0.125 0.250 0.375
2 Tl 0.125 0.375 0.750
3 Tl 0.250 0.375 0.125
4 Tl 0.250 0.875 0.625
5 Tl 0.375 0.125 0.250
6 Tl 0.375 0.750 0.125
7 Tl 0.625 0.250 0.875
8 Tl 0.625 0.875 0.750
9 Tl 0.750 0.125 0.375
10 Tl 0.750 0.625 0.875
11 Tl 0.875 0.625 0.250
12 Tl 0.875 0.750 0.625
13 Cd 0.062 0.228 0.135
14 Cd 0.062 0.334 0.927
15 Cd 0.073 0.635 0.407
16 Cd 0.073 0.938 0.666
17 Cd 0.093 0.728 0.666
18 Cd 0.093 0.865 0.427
19 Cd 0.135 0.062 0.228
20 Cd 0.135 0.573 0.907
21 Cd 0.166 0.228 0.593
22 Cd 0.166 0.438 0.573
23 Cd 0.228 0.135 0.062
24 Cd 0.228 0.593 0.166
25 Cd 0.272 0.334 0.907
26 Cd 0.272 0.438 0.365
27 Cd 0.334 0.907 0.272
28 Cd 0.334 0.927 0.062
29 Cd 0.365 0.272 0.438
30 Cd 0.365 0.593 0.927
31 Cd 0.407 0.073 0.635
32 Cd 0.407 0.834 0.772
33 Cd 0.427 0.093 0.865
34 Cd 0.427 0.834 0.562
35 Cd 0.438 0.365 0.272
36 Cd 0.438 0.573 0.166
37 Cd 0.562 0.427 0.834
38 Cd 0.562 0.635 0.728
39 Cd 0.573 0.166 0.438
40 Cd 0.573 0.907 0.135
41 Cd 0.593 0.166 0.228
42 Cd 0.593 0.927 0.365
43 Cd 0.635 0.407 0.073
44 Cd 0.635 0.728 0.562
45 Cd 0.666 0.073 0.938
46 Cd 0.666 0.093 0.728
47 Cd 0.728 0.562 0.635
48 Cd 0.728 0.666 0.093
49 Cd 0.772 0.407 0.834
50 Cd 0.772 0.865 0.938
51 Cd 0.834 0.562 0.427
52 Cd 0.834 0.772 0.407
53 Cd 0.865 0.427 0.093
54 Cd 0.865 0.938 0.772
55 Cd 0.907 0.135 0.573
56 Cd 0.907 0.272 0.334
57 Cd 0.927 0.062 0.334
58 Cd 0.927 0.365 0.593
59 Cd 0.938 0.666 0.073
60 Cd 0.938 0.772 0.865
61 Hg 0.000 0.000 0.000
62 Hg 0.000 0.000 0.500
63 Hg 0.000 0.500 0.000
64 Hg 0.000 0.500 0.500
65 Hg 0.125 0.750 0.875
66 Hg 0.125 0.875 0.250
67 Hg 0.250 0.125 0.875
68 Hg 0.250 0.625 0.375
69 Hg 0.375 0.250 0.625
70 Hg 0.375 0.625 0.750
71 Hg 0.500 0.000 0.000
72 Hg 0.500 0.000 0.500
73 Hg 0.500 0.500 0.000
74 Hg 0.500 0.500 0.500
75 Hg 0.625 0.375 0.250
76 Hg 0.625 0.750 0.375
77 Hg 0.750 0.375 0.625
78 Hg 0.750 0.875 0.125
79 Hg 0.875 0.125 0.750
80 Hg 0.875 0.250 0.125

size of the total moment	0.000	μB per formula unit
formation energy from the elements	0.17	eV/atom
SG	Ia-3d, No. 230
E	-64.5	eV/cell